# 1
# PBE-GGA LaNdNi2As4, optimized geometry
data_LaNdNi2As4
_chemical_formula_sum 'La1 Nd1 Ni2 As4'
_space_group_name_H-M_alt 'P 1'
_space_group_IT_number 1
_space_group_name_Hall 'P 1'
_cell_length_a 4.0133
_cell_length_b 4.0133
_cell_length_c 9.9676
_cell_angle_alpha 90.00
_cell_angle_beta 90.00
_cell_angle_gamma 90.00
loop_
_atom_site_label
_atom_site_type_symbol
_atom_site_fract_x
_atom_site_fract_y
_atom_site_fract_z
As1 As 0.5000 0.5000 0.1254
As2 As 0.0000 0.5000 0.5047
As3 As 0.5000 0.0000 0.5047
As4 As 0.0000 0.0000 0.8681
La1 La 0.0000 0.0000 0.2585
Ni1 Ni 0.5000 0.0000 0.9971
Ni2 Ni 0.0000 0.5000 0.9971
Nd1 Nd 0.5000 0.5000 0.7444
# Electronic total energy in eV/atom: -5.8288
# Calculated density in Mg/m³: 7.2

---

# 2
# PBE-GGA LaNdAs2Pd2, optimized geometry
data_LaNdAs2Pd2
_chemical_formula_sum 'La1 Nd1 As2 Pd2'
_space_group_name_H-M_alt 'P 1'
_space_group_IT_number 1
_space_group_name_Hall 'P 1'
_cell_length_a 4.3949
_cell_length_b 4.3949
_cell_length_c 7.8829
_cell_angle_alpha 90.00
_cell_angle_beta 90.00
_cell_angle_gamma 120.00
loop_
_atom_site_label
_atom_site_type_symbol
_atom_site_fract_x
_atom_site_fract_y
_atom_site_fract_z
Pd1 Pd 0.6667 0.3333 0.7468
Pd2 Pd 0.3333 0.6667 0.2369
As1 As 0.6667 0.3333 0.2543
As2 As 0.3333 0.6667 0.7614
La1 La 0.0000 0.0000 0.4994
Nd1 Nd 0.0000 0.0000 0.9998
# Electronic total energy in eV/atom: -6.1181
# Calculated density in Mg/m³: 8.1